(1)
Entry from Alexandria via LeMat-Bulk: a PBEsol-optimized structure of TcTe2PdI (meta-GGA SCAN).

The space group is P4/mmm (No. 123) and the conventional cell measures 5.225, 5.225 and 5.258 Å, with angles of 90.00, 90.00 and 90.00 degrees. The inequivalent atoms are Tc at (0.000, 0.000, 0.000), Te at (0.000, 0.500, 0.500), Pd at (0.500, 0.500, 0.500) and I at (0.500, 0.500, 0.000).

The value obtained for the theoretical density is 6.78 g cm⁻³. The value obtained for the total magnetic moment is 4.585 μB/cell. The value obtained for the calculated volume is 143.5 Å³ per cell. As for the raw formation energy: 852 meV per atom. The calculated total energy is -34.963 eV/atom.

(2)
Entry from Alexandria via LeMat-Bulk: a PBEsol-optimized structure of Li2ZnTc (meta-GGA SCAN).

The space group is Cmm2 (No. 35) and the conventional cell measures 3.271, 3.934 and 8.962 Å, with angles of 90.00, 90.00 and 90.00 degrees. The inequivalent atoms are Li at (0.000, 0.000, 0.000), Li at (0.000, 0.500, 0.288), Zn at (0.000, 0.500, 0.767) and Tc at (0.000, 0.000, 0.531).

The value obtained for the theoretical density is 5.11 g cm⁻³. The value obtained for the total magnetic moment is 0.000 μB/cell. As for the formation energy from the elements: 0.059 eV per atom. The value obtained for the calculated volume is 115.3 Å³ per cell. The calculated total energy is -13.279 eV/atom.

(3)
Entry from Alexandria via LeMat-Bulk: a PBEsol-optimized structure of CrRuPb2 (meta-GGA SCAN).

The space group is I4/mmm (No. 139) and the conventional cell measures 4.645, 4.645 and 6.893 Å, with angles of 90.00, 90.00 and 90.00 degrees. The inequivalent atoms are Cr at (0.000, 0.000, 0.000), Ru at (0.000, 0.000, 0.500) and Pb at (0.000, 0.500, 0.250).

The value obtained for the theoretical density is 12.67 g cm⁻³. The value obtained for the total magnetic moment is 7.393 μB/cell. As for the formation energy from the elements: 0.465 eV per atom. The value obtained for the calculated volume is 148.7 Å³ per cell. The calculated total energy is -50.728 eV/atom.

Look up the calculated volume of the third one. 148.7 Å³ per cell

calculated volume of number 2 (Li2ZnTc)? 115.3 Å³ per cell

Please write out number 1 again, unchanged.
Entry from Alexandria via LeMat-Bulk: a PBEsol-optimized structure of TcTe2PdI (meta-GGA SCAN).

The space group is P4/mmm (No. 123) and the conventional cell measures 5.225, 5.225 and 5.258 Å, with angles of 90.00, 90.00 and 90.00 degrees. The inequivalent atoms are Tc at (0.000, 0.000, 0.000), Te at (0.000, 0.500, 0.500), Pd at (0.500, 0.500, 0.500) and I at (0.500, 0.500, 0.000).

The value obtained for the theoretical density is 6.78 g cm⁻³. The value obtained for the total magnetic moment is 4.585 μB/cell. The value obtained for the calculated volume is 143.5 Å³ per cell. As for the raw formation energy: 852 meV per atom. The calculated total energy is -34.963 eV/atom.

Which formula does entry 2 have? Li2ZnTc